The following is a DFT calculation (PBE) of a geometry-optimized Nd4PtSe3 structure.

a = 8.5866 Å, b = 12.0803 Å, c = 4.1732 Å
α = 90.00°, β = 90.00°, γ = 90.00°
Space group Cmmm (No. 65)
Inequivalent atoms, fractional coordinates:
1 Nd 0.0000 0.2484 0.0000 (multiplicity 4)
2 Nd 0.2370 0.0000 0.5000 (multiplicity 4)
3 Pt 0.0000 0.0000 0.0000 (multiplicity 2)
4 Se 0.0000 0.5000 0.0000 (multiplicity 2)
5 Se 0.2500 0.2500 0.5000 (multiplicity 4)

Summary:
The raw formation energy comes out at -160 kJ per mole of atoms. The distance to the lowest polymorph of the same formula is 0.000 eV per atom. Its total energy is -97.63 eV/cell.

The following is a DFT calculation (PBE) of a geometry-optimized Rb4Tm3InS8 structure.

a = 8.0286 Å, b = 8.0286 Å, c = 23.0390 Å
α = 90.00°, β = 90.00°, γ = 120.00°
Space group R-3m (No. 166, hexagonal axes)
Inequivalent atoms, fractional coordinates:
1 Rb 0.0000 0.0000 0.0000 (multiplicity 3)
2 Rb 0.0000 0.5000 0.0000 (multiplicity 9)
3 Tm 0.0000 0.5000 0.5000 (multiplicity 9)
4 In 0.0000 0.0000 0.5000 (multiplicity 3)
5 S 0.0000 0.0000 0.2299 (multiplicity 6)
6 S 0.0021 0.5010 0.2298 (multiplicity 18)

Summary:
The raw formation energy comes out at -153 kJ per mole of atoms. Its total energy is -235.32 eV/cell.